# MnCuPO2

Crystalline MnCuPO2 at its relaxed geometry (GGA+U, the Alexandria database).

Summary:
Crystal system: tetragonal
Energy above the most stable polymorph in this dataset: 0.251 eV per atom
Electronic total energy: -26.5 eV for the cell shown
SG: P4/mmm, No. 123
Mass density: 4.507 g cm⁻³

Cell and atoms, written as CIF:
```
data_MnCuPO2
_cell_length_a 3.732
_cell_length_b 3.732
_cell_length_c 4.800
_cell_angle_alpha 90.00
_cell_angle_beta 90.00
_cell_angle_gamma 90.00
_symmetry_space_group_name_H-M 'P 1'
_symmetry_Int_Tables_number 1
loop_
_symmetry_equiv_pos_as_xyz
'x,y,z'
loop_
_atom_site_label
_atom_site_type_symbol
_atom_site_fract_x
_atom_site_fract_y
_atom_site_fract_z
_atom_site_occupancy
P1 P 0.000 0.000 0.500 1
Mn1 Mn 0.500 0.500 0.500 1
O1 O 0.000 0.500 0.000 1
O2 O 0.500 0.000 0.000 1
Cu1 Cu 0.000 0.000 0.000 1
```